# 1
DFT (GGA-PBE) results for crystalline Y3BeCu at its relaxed geometry.

abc: 5.168 5.168 5.168
angles: 90.00 90.00 90.00
Positions (direct):
Y: 0.000 0.000 0.500
Y: 0.000 0.500 0.000
Y: 0.500 0.000 0.000
Be: 0.000 0.000 0.000
Cu: 0.500 0.500 0.500

DOS at the Fermi energy, states/eV per cell: 8.93
ΔH_f (0 K), eV per atom: 0.452
E_tot, eV/atom: -4.991

# 2
DFT (GGA-PBE) results for crystalline KNa2P3O9 at its relaxed geometry.

abc: 6.837 7.037 9.624
angles: 87.01 70.56 75.63
Positions (direct):
K: 0.150 0.461 0.165
K: 0.850 0.539 0.835
Na: 0.231 0.921 0.833
Na: 0.285 0.211 0.490
Na: 0.715 0.789 0.510
Na: 0.769 0.079 0.167
P: 0.241 0.744 0.472
P: 0.291 0.956 0.195
P: 0.377 0.381 0.783
P: 0.623 0.619 0.217
P: 0.709 0.044 0.805
P: 0.759 0.256 0.528
O: 0.069 0.648 0.560
O: 0.151 0.873 0.350
O: 0.154 0.003 0.100
O: 0.250 0.263 0.739
O: 0.264 0.569 0.871
O: 0.333 0.863 0.547
O: 0.389 0.108 0.232
O: 0.433 0.572 0.363
O: 0.476 0.754 0.127
O: 0.524 0.246 0.873
O: 0.567 0.428 0.637
O: 0.611 0.892 0.768
O: 0.667 0.137 0.453
O: 0.736 0.431 0.129
O: 0.750 0.737 0.261
O: 0.846 0.997 0.900
O: 0.849 0.127 0.650
O: 0.931 0.352 0.440

Formation energy from raw total energies, eV/atom: -2.23
DOS at the Fermi energy, states/eV per cell: 0.00
E_tot, eV/atom: -6.541

# 3
DFT (GGA-PBE) results for crystalline Ce2CoPb at its relaxed geometry.

abc: 3.690 3.690 8.768
angles: 90.00 90.00 120.00
Positions (direct):
Ce: 0.333 0.667 0.186
Ce: 0.667 0.333 0.814
Co: 0.000 0.000 0.000
Pb: 0.000 0.000 0.500

DOS at the Fermi energy, states/eV per cell: 7.83
ΔH_f (0 K), eV per atom: -0.194
E_tot, eV/atom: -5.865

# 4
DFT (GGA-PBE) results for crystalline ZrCrAs3 at its relaxed geometry.

abc: 4.655 4.655 4.655
angles: 90.00 90.00 90.00
Positions (direct):
Zr: 0.000 0.000 0.000
Cr: 0.500 0.500 0.500
As: 0.000 0.500 0.500
As: 0.500 0.000 0.500
As: 0.500 0.500 0.000

DOS at the Fermi energy, states/eV per cell: 9.94
ΔH_f (0 K), eV per atom: 0.332
E_tot, eV/atom: -6.092

# 5
DFT (GGA-PBE) results for crystalline BeOs2Br at its relaxed geometry.

abc: 2.894 4.934 9.126
angles: 90.00 90.00 90.00
Positions (direct):
Be: 0.000 0.000 0.000
Be: 0.500 0.500 0.000
Os: 0.000 0.000 0.558
Os: 0.000 0.500 0.791
Os: 0.500 0.000 0.791
Os: 0.500 0.500 0.558
Br: 0.000 0.500 0.186
Br: 0.500 0.000 0.186

Formation energy from raw total energies, eV/atom: 0.87
DOS at the Fermi energy, states/eV per cell: 8.51
E_tot, eV/atom: -6.092

# 6
DFT (GGA-PBE) results for crystalline Rb2OsO5 at its relaxed geometry.

abc: 6.601 6.601 8.004
angles: 90.00 90.00 90.00
Positions (direct):
Rb: 0.000 0.500 0.000
Rb: 0.000 0.500 0.500
Rb: 0.500 0.000 0.000
Rb: 0.500 0.000 0.500
Os: 0.000 0.000 0.230
Os: 0.500 0.500 0.730
O: 0.000 0.000 0.011
O: 0.189 0.189 0.288
O: 0.189 0.811 0.288
O: 0.311 0.311 0.788
O: 0.311 0.689 0.788
O: 0.500 0.500 0.511
O: 0.689 0.311 0.788
O: 0.689 0.689 0.788
O: 0.811 0.189 0.288
O: 0.811 0.811 0.288

Formation energy from raw total energies, eV/atom: -1.35
E_tot, eV/atom: -6.090

# 7
DFT (GGA-PBE) results for crystalline MgTe3 at its relaxed geometry.

abc: 4.331 4.819 12.607
angles: 90.00 90.00 90.00
Positions (direct):
Mg: 0.000 0.000 0.000
Mg: 0.500 0.500 0.500
Te: 0.000 0.000 0.500
Te: 0.000 0.500 0.341
Te: 0.000 0.500 0.659
Te: 0.500 0.000 0.159
Te: 0.500 0.000 0.841
Te: 0.500 0.500 0.000

Formation energy from raw total energies, eV/atom: -0.23
DOS at the Fermi energy, states/eV per cell: 1.41
E_tot, eV/atom: -2.983

# 8
DFT (GGA-PBE) results for crystalline AlZnCl5 at its relaxed geometry.

abc: 6.942 6.947 8.935
angles: 108.72 108.71 92.08
Positions (direct):
Al: 0.122 0.378 0.250
Al: 0.878 0.622 0.750
Zn: 0.500 0.000 0.000
Zn: 0.500 0.000 0.500
Cl: 0.179 0.712 0.345
Cl: 0.213 0.679 0.846
Cl: 0.234 0.253 0.045
Cl: 0.246 0.265 0.454
Cl: 0.429 0.070 0.750
Cl: 0.571 0.930 0.250
Cl: 0.754 0.735 0.546
Cl: 0.766 0.747 0.955
Cl: 0.787 0.321 0.154
Cl: 0.821 0.288 0.655

Formation energy from raw total energies, eV/atom: -1.27
DOS at the Fermi energy, states/eV per cell: 0.00
E_tot, eV/atom: -3.305

# 9
DFT (GGA-PBE) results for crystalline FeP2Pb at its relaxed geometry.

abc: 3.445 4.444 4.694
angles: 90.00 90.00 90.00
Positions (direct):
Fe: 0.000 0.000 0.000
P: 0.000 0.500 0.500
P: 0.500 0.000 0.500
Pb: 0.500 0.500 0.000

DOS at the Fermi energy, states/eV per cell: 3.59
ΔH_f (0 K), eV per atom: 0.759
E_tot, eV/atom: -4.989

# 10
DFT (GGA-PBE) results for crystalline Nd5TlPt2 at its relaxed geometry.

abc: 9.017 9.017 9.017
angles: 126.59 126.59 78.92
Positions (direct):
Nd: 0.000 0.000 0.000
Nd: 0.022 0.522 0.820
Nd: 0.203 0.022 0.500
Nd: 0.297 0.797 0.820
Nd: 0.478 0.297 0.500
Nd: 0.500 0.500 0.000
Nd: 0.522 0.703 0.500
Nd: 0.703 0.203 0.180
Nd: 0.797 0.978 0.500
Nd: 0.978 0.478 0.180
Tl: 0.250 0.250 0.000
Tl: 0.750 0.750 0.000
Pt: 0.135 0.365 0.500
Pt: 0.365 0.865 0.231
Pt: 0.635 0.135 0.769
Pt: 0.865 0.635 0.500

DOS at the Fermi energy, states/eV per cell: 16.38
ΔH_f (0 K), eV per atom: -0.707
E_tot, eV/atom: -5.493

# 11
DFT (GGA-PBE) results for crystalline Er3NbPd12 at its relaxed geometry.

abc: 4.068 4.068 16.285
angles: 90.00 90.00 90.00
Positions (direct):
Er: 0.000 0.000 0.000
Er: 0.000 0.000 0.250
Er: 0.000 0.000 0.750
Nb: 0.000 0.000 0.500
Pd: 0.000 0.500 0.128
Pd: 0.000 0.500 0.384
Pd: 0.000 0.500 0.616
Pd: 0.000 0.500 0.872
Pd: 0.500 0.000 0.128
Pd: 0.500 0.000 0.384
Pd: 0.500 0.000 0.616
Pd: 0.500 0.000 0.872
Pd: 0.500 0.500 0.000
Pd: 0.500 0.500 0.256
Pd: 0.500 0.500 0.500
Pd: 0.500 0.500 0.744

DOS at the Fermi energy, states/eV per cell: 4.73
ΔH_f (0 K), eV per atom: -0.799
E_tot, eV/atom: -6.178

# 12
DFT (GGA-PBE) results for crystalline TiGeRh at its relaxed geometry.

abc: 7.535 7.535 7.535
angles: 123.18 81.05 127.47
Positions (direct):
Ti: 0.002 0.250 0.252
Ti: 0.421 0.398 0.523
Ti: 0.422 0.866 0.057
Ti: 0.809 0.366 0.943
Ti: 0.875 0.898 0.477
Ti: 0.998 0.750 0.748
Ge: 0.085 0.424 0.674
Ge: 0.085 0.911 0.161
Ge: 0.375 0.163 0.712
Ge: 0.450 0.663 0.288
Ge: 0.750 0.411 0.326
Ge: 0.750 0.924 0.839
Rh: 0.160 0.331 0.918
Rh: 0.160 0.742 0.329
Rh: 0.413 0.242 0.082
Rh: 0.413 0.831 0.671
Rh: 0.675 0.175 0.500
Rh: 0.675 0.675 0.000

DOS at the Fermi energy, states/eV per cell: 17.30
ΔH_f (0 K), eV per atom: -0.786
E_tot, eV/atom: -7.408

# 13
DFT (GGA-PBE) results for crystalline SrCa5In3 at its relaxed geometry.

abc: 9.739 9.739 7.215
angles: 90.00 90.00 120.00
Positions (direct):
Sr: 0.000 0.000 0.000
Sr: 0.000 0.000 0.500
Ca: 0.000 0.338 0.250
Ca: 0.000 0.662 0.750
Ca: 0.333 0.667 0.000
Ca: 0.333 0.667 0.500
Ca: 0.338 0.000 0.250
Ca: 0.338 0.338 0.750
Ca: 0.662 0.000 0.750
Ca: 0.662 0.662 0.250
Ca: 0.667 0.333 0.000
Ca: 0.667 0.333 0.500
In: 0.000 0.334 0.750
In: 0.000 0.666 0.250
In: 0.334 0.000 0.750
In: 0.334 0.334 0.250
In: 0.666 0.000 0.250
In: 0.666 0.666 0.750

DOS at the Fermi energy, states/eV per cell: 23.39
ΔH_f (0 K), eV per atom: -0.330
E_tot, eV/atom: -2.541

# 14
DFT (GGA-PBE) results for crystalline RbTl2RhBr8 at its relaxed geometry.

abc: 5.981 7.391 9.434
angles: 88.58 73.16 84.80
Positions (direct):
Rb: 0.000 0.000 0.000
Tl: 0.289 0.461 0.320
Tl: 0.711 0.539 0.680
Rh: 0.000 0.000 0.500
Br: 0.153 0.225 0.633
Br: 0.198 0.742 0.609
Br: 0.250 0.500 0.990
Br: 0.342 0.014 0.270
Br: 0.658 0.986 0.730
Br: 0.750 0.500 0.010
Br: 0.802 0.258 0.391
Br: 0.847 0.775 0.367

Formation energy from raw total energies, eV/atom: -0.68
DOS at the Fermi energy, states/eV per cell: 9.15
E_tot, eV/atom: -2.881

# 15
DFT (GGA-PBE) results for crystalline Nd5Er12Th2 at its relaxed geometry.

abc: 9.082 9.082 8.625
angles: 92.13 92.13 62.10
Positions (direct):
Nd: 0.000 0.000 0.000
Nd: 0.232 0.232 0.069
Nd: 0.296 0.296 0.478
Nd: 0.704 0.704 0.522
Nd: 0.768 0.768 0.931
Er: 0.031 0.675 0.258
Er: 0.074 0.074 0.378
Er: 0.180 0.561 0.832
Er: 0.325 0.969 0.742
Er: 0.439 0.820 0.168
Er: 0.444 0.444 0.169
Er: 0.556 0.556 0.831
Er: 0.561 0.180 0.832
Er: 0.675 0.031 0.258
Er: 0.820 0.439 0.168
Er: 0.926 0.926 0.622
Er: 0.969 0.325 0.742
Th: 0.327 0.673 0.500
Th: 0.673 0.327 0.500

DOS at the Fermi energy, states/eV per cell: 26.66
ΔH_f (0 K), eV per atom: 0.143
E_tot, eV/atom: -4.775

# 16
DFT (GGA-PBE) results for crystalline CaLaGa at its relaxed geometry.

abc: 7.302 7.302 7.302
angles: 90.00 90.00 90.00
Positions (direct):
Ca: 0.000 0.000 0.000
Ca: 0.000 0.500 0.500
Ca: 0.500 0.000 0.500
Ca: 0.500 0.500 0.000
La: 0.250 0.250 0.250
La: 0.250 0.750 0.750
La: 0.750 0.250 0.750
La: 0.750 0.750 0.250
Ga: 0.000 0.000 0.500
Ga: 0.000 0.500 0.000
Ga: 0.500 0.000 0.000
Ga: 0.500 0.500 0.500

DOS at the Fermi energy, states/eV per cell: 4.56
ΔH_f (0 K), eV per atom: 0.219
E_tot, eV/atom: -3.100

# 17
DFT (GGA-PBE) results for crystalline GaHRh3 at its relaxed geometry.

abc: 9.612 9.612 9.612
angles: 152.49 152.49 39.30
Positions (direct):
Ga: 0.000 0.000 0.000
Ga: 0.750 0.250 0.500
H: 0.147 0.647 0.500
H: 0.353 0.853 0.500
Rh: 0.339 0.339 0.000
Rh: 0.370 0.125 0.245
Rh: 0.661 0.661 0.000
Rh: 0.875 0.120 0.245
Rh: 0.875 0.630 0.755
Rh: 0.880 0.125 0.755

DOS at the Fermi energy, states/eV per cell: 10.77
E_tot, eV/atom: -4.971

# 18
DFT (GGA-PBE) results for crystalline RbLiI2 at its relaxed geometry.

abc: 4.712 8.338 9.508
angles: 66.69 75.69 89.99
Positions (direct):
Rb: 0.134 0.105 0.232
Rb: 0.866 0.895 0.768
Li: 0.395 0.395 0.707
Li: 0.605 0.605 0.293
I: 0.196 0.710 0.109
I: 0.492 0.751 0.517
I: 0.508 0.249 0.483
I: 0.804 0.290 0.891

Formation energy from raw total energies, eV/atom: -1.34
DOS at the Fermi energy, states/eV per cell: 0.00
E_tot, eV/atom: -2.840

# 19
DFT (GGA-PBE) results for crystalline NaLiTl2Cr at its relaxed geometry.

abc: 5.329 5.329 5.158
angles: 90.00 90.00 90.00
Positions (direct):
Na: 0.000 0.000 0.000
Li: 0.500 0.500 0.000
Tl: 0.000 0.500 0.500
Tl: 0.500 0.000 0.500
Cr: 0.500 0.500 0.500

DOS at the Fermi energy, states/eV per cell: 2.31
ΔH_f (0 K), eV per atom: 0.373
E_tot, eV/atom: -3.145

# 20
DFT (GGA-PBE) results for crystalline MnH3Pd5 at its relaxed geometry.

abc: 5.611 5.611 7.437
angles: 111.45 111.45 73.35
Positions (direct):
Mn: 0.102 0.102 0.308
Mn: 0.898 0.898 0.692
H: 0.000 0.000 0.000
H: 0.000 0.000 0.500
H: 0.329 0.329 0.826
H: 0.356 0.356 0.322
H: 0.644 0.644 0.678
H: 0.671 0.671 0.174
Pd: 0.044 0.629 0.335
Pd: 0.234 0.234 0.026
Pd: 0.286 0.714 0.000
Pd: 0.371 0.956 0.665
Pd: 0.423 0.423 0.636
Pd: 0.577 0.577 0.364
Pd: 0.629 0.044 0.335
Pd: 0.714 0.286 0.000
Pd: 0.766 0.766 0.974
Pd: 0.956 0.371 0.665

DOS at the Fermi energy, states/eV per cell: 4.29
E_tot, eV/atom: -5.144